Density functional theory data (PBE) for an optimized crystal structure of Hf6MnSn.

Cell and atoms, written as POSCAR:
```
Hf6MnSn
1.0
4.6103 2.6617 2.4336
-4.6103 2.6617 2.4336
0.0000 -5.3235 2.4336
Hf Mn Sn
6 1 1
direct
0.2163 0.2163 0.6278
0.2163 0.6278 0.2163
0.3722 0.7837 0.7837
0.6278 0.2163 0.2163
0.7837 0.3722 0.7837
0.7837 0.7837 0.3722
0.5000 0.5000 0.5000
0.0000 0.0000 0.0000
```

E_tot = -0.658 Ry per atom
SG = R-3m
formation enthalpy at 0 K = 0.16 eV/atom